1.
This record from Alexandria via LeMat-Bulk describes a geometry-optimized HoCdRu structure. The functional is PBE.

The structure in POSCAR format:
```
HoCdRu
1.0
-1.736 1.736 5.118
1.736 -1.736 5.118
1.736 1.736 -5.118
Ho Cd Ru
1 1 1
Direct
0.000 0.000 0.000
0.704 0.704 0.000
0.354 0.354 0.000
```

## Properties
calculated total energy: -5.076 eV/atom
energy relative to the elements: -0.153 eV per atom

---

2.
This record from Alexandria via LeMat-Bulk describes a geometry-optimized TaNbMoRh structure. The functional is PBE.

The structure in POSCAR format:
```
TaNbMoRh
1.0
3.235 0.000 0.000
0.000 3.235 0.000
0.000 0.000 6.348
Ta Nb Mo Rh
1 1 1 1
Direct
0.000 0.000 0.000
0.000 0.000 0.489
0.500 0.500 0.245
0.500 0.500 0.750
```

## Properties
ΔE to the lowest computed polymorph: 0.0000 eV/atom
calculated total energy: -10.330 eV/atom
energy relative to the elements: -0.304 eV per atom

---

3.
This record from Alexandria via LeMat-Bulk describes a geometry-optimized CuSnS2N structure. The functional is PBE.

The structure in POSCAR format:
```
CuSnS2N
1.0
4.846 0.000 0.000
0.000 4.846 0.000
0.000 0.000 3.667
Cu Sn S N
1 1 2 1
Direct
0.000 0.000 0.000
0.500 0.500 0.500
0.000 0.500 0.000
0.500 0.000 0.000
0.000 0.000 0.500
```

## Properties
ΔE to the lowest computed polymorph: 0.0000 eV/atom
calculated total energy: -4.297 eV/atom
E_form (uncorrected): 0.64 eV/atom

---

4.
This record from Alexandria via LeMat-Bulk describes a geometry-optimized Nd5DyTl6 structure. The functional is PBE.

The structure in POSCAR format:
```
Nd5DyTl6
1.0
2.760 -8.286 0.000
2.760 8.286 0.000
0.000 0.000 7.711
Nd Dy Tl
5 1 6
Direct
0.000 0.000 0.000
0.331 0.669 0.000
0.334 0.666 0.500
0.666 0.334 0.500
0.669 0.331 0.000
0.000 0.000 0.500
0.164 0.836 0.254
0.164 0.836 0.746
0.500 0.500 0.253
0.500 0.500 0.747
0.836 0.164 0.254
0.836 0.164 0.746
```

## Properties
calculated total energy: -3.935 eV/atom
energy relative to the elements: -0.382 eV per atom

---

5.
This record from Alexandria via LeMat-Bulk describes a geometry-optimized MnFeP2 structure. The functional is PBE.

The structure in POSCAR format:
```
MnFeP2
1.0
1.604 -2.023 0.000
1.604 2.023 0.000
0.000 0.000 9.032
Mn Fe P
1 1 2
Direct
0.000 0.000 0.000
0.500 0.500 0.218
0.000 0.000 0.406
0.500 0.500 0.815
```

## Properties
ΔE to the lowest computed polymorph: 0.6651 eV/atom
calculated total energy: -7.038 eV/atom
energy relative to the elements: 0.075 eV per atom

---

6.
This record from Alexandria via LeMat-Bulk describes a geometry-optimized Ta2Ti3Mo6 structure. The functional is PBE.

The structure in POSCAR format:
```
Ta2Ti3Mo6
1.0
4.506 -6.798 0.000
4.506 6.798 0.000
0.000 0.000 3.139
Ta Ti Mo
2 3 6
Direct
0.186 0.186 0.000
0.814 0.814 0.000
0.298 0.702 0.000
0.500 0.500 0.500
0.702 0.298 0.000
0.116 0.429 0.500
0.129 0.871 0.500
0.429 0.116 0.500
0.571 0.884 0.500
0.871 0.129 0.500
0.884 0.571 0.500
```

## Properties
calculated total energy: -9.832 eV/atom
energy relative to the elements: 0.384 eV per atom

---

Number 1: DOS(E_F) 1.953 states/eV/cell. Number 2: DOS(E_F) 3.182 states/eV/cell. Number 3: DOS(E_F) 3.363 states/eV/cell. Number 4: DOS(E_F) 9.632 states/eV/cell. Number 5: DOS(E_F) 2.520 states/eV/cell. Number 6: DOS(E_F) 11.151 states/eV/cell.